CrIrPt2 | the Alexandria database | GGA-PBEsol | relaxed; symmetry = F-43m, No. 216; DFT formation energy = 0.22 eV/atom; energy = -33.122 eV/cell; theoretical density = 18.3 g cm⁻³
1.0
-2.591 -2.432 -2.484
1.714 -2.851 -2.779
-0.363 -4.253 0.758
Pt Cr Ir
2 1 1
Cartesian
0.000 0.000 0.000
-0.929 -7.152 -3.379
-0.620 -4.768 -2.253
-0.310 -2.384 -1.126

=====

TbBe13 | the Alexandria database | GGA-PBEsol | relaxed; symmetry = Fm-3c, No. 226; DFT formation energy = -0.18 eV/atom; energy = -119.111 eV/cell; theoretical density = 3.5 g cm⁻³
1.0
7.173 0.000 0.000
3.586 6.212 0.000
3.586 2.071 5.857
Be Tb
26 2
Cartesian
7.620 5.346 1.225
10.312 3.275 4.153
4.853 3.749 5.491
4.033 5.007 1.704
4.853 1.855 4.153
7.992 3.152 1.225
5.086 3.883 3.293
5.906 3.926 1.225
6.353 1.936 0.365
6.726 2.937 4.632
9.492 4.534 0.365
9.492 6.427 1.704
5.673 5.954 0.365
6.353 5.131 4.632
7.992 6.077 3.293
7.992 6.346 5.491
7.992 0.989 1.704
6.353 2.205 2.563
8.440 4.356 4.632
7.173 4.141 2.928
0.000 0.000 0.000
9.259 4.399 2.563
6.353 7.293 4.153
8.440 2.463 3.293
8.673 2.329 5.491
5.906 5.819 2.563
10.759 6.212 4.392
3.586 2.071 1.464

=====

NiSbW | the Alexandria database | GGA-PBEsol | relaxed; symmetry = P3m1, No. 156; ΔE_f (raw) = 0.467 eV per atom; energy = -23.122 eV/cell; theoretical density = 12.5 g cm⁻³
1.0
2.975 0.000 0.000
-1.488 2.577 0.000
0.000 0.000 6.298
Ni W Sb
1 1 1
Cartesian
0.000 0.000 0.052
1.488 0.859 1.959
0.000 1.718 4.286

=====

> Which value of theoretical density does entry 3 give?

12.5 g cm⁻³